1.
The following is a DFT calculation (PBE-GGA) of crystalline Zr2SbMo at its relaxed geometry.

The structure belongs to space group Cmmm (No. 65); the cell edges are 3.6226, 5.2337 and 8.8783 Å and the angles 90.00°, 90.00° and 90.00°. Symmetry generates all atoms from Zr at (0.0000, 0.0000, 0.2328), Sb at (0.0000, 0.5000, 0.5000) and Mo at (0.0000, 0.5000, 0.0000).

For the total energy, the calculation gives -65.38 eV per cell. The calculation puts the uncorrected formation energy at -15 kJ per mole of atoms. The calculation puts the spin magnetization at 0.0 μB/f.u. Its density of states at the Fermi level is 6.45 states/eV/cell.

---

2.
The following is a DFT calculation (PBE-GGA) of crystalline Pr6TlCo at its relaxed geometry.

The structure belongs to space group C2/m (No. 12); the cell edges are 8.1645, 10.3203 and 6.4820 Å and the angles 90.00°, 105.50° and 90.00°. Symmetry generates all atoms from Pr at (0.1117, 0.1914, 0.2842), Pr at (0.2164, 0.5000, 0.1168), Tl at (0.0000, 0.5000, 0.5000) and Co at (0.0000, 0.0000, 0.0000).

For the total energy, the calculation gives -76.45 eV per cell. The calculation puts the spin magnetization at 0.0 μB/f.u. For the formation energy, the calculation gives -0.01 eV/atom. Its density of states at the Fermi level is 19.09 states/eV/cell.

---

Q: Number 2 is which compound?
A: Pr6TlCo